! Ho2ErScSe4, relaxed, DFT PBE; values from VASP
! Crystal system = monoclinic
! Formation energy (no corrections) = -1.675 eV/atom
! SG = P2/m
&SYSTEM
  ibrav = 0, nat = 8, ntyp = 4
/
ATOMIC_SPECIES
Se 78.96 Se.upf
Ho 164.93 Ho.upf
Er 167.26 Er.upf
Sc 44.96 Sc.upf
CELL_PARAMETERS angstrom
-0.900 -3.510 -1.626
-2.063 -2.357 6.230
-6.779 1.364 0.808
ATOMIC_POSITIONS crystal
Se 0.000 0.741 0.758
Se 0.500 0.744 0.247
Se 0.000 0.259 0.242
Se 0.500 0.256 0.753
Ho 0.500 0.000 0.500
Ho 0.000 0.000 0.000
Er 0.000 0.500 0.500
Sc 0.500 0.500 0.000

---

! Sc3TiCu4, relaxed, DFT PBE; values from VASP
! Crystal system = tetragonal
! SG = P4/mmm
! DFT total energy = -45.0 eV per cell
&SYSTEM
  ibrav = 0, nat = 8, ntyp = 3
/
ATOMIC_SPECIES
Cu 63.55 Cu.upf
Sc 44.96 Sc.upf
Ti 47.87 Ti.upf
CELL_PARAMETERS angstrom
-0.436 2.939 -1.242
-2.990 0.061 1.195
4.431 5.229 10.820
ATOMIC_POSITIONS crystal
Cu 0.000 0.000 0.111
Cu 0.000 0.000 0.372
Cu 0.000 0.000 0.889
Cu 0.000 0.000 0.628
Sc 0.500 0.500 0.500
Sc 0.500 0.500 0.758
Sc 0.500 0.500 0.242
Ti 0.500 0.500 0.000

---

no.,calculated volume (Å³ per cell),spin magnetization (μB per formula unit)
1,182.30,0.00
2,132.81,1.30